(1)
Below is Nd3BiIrCl after structural relaxation, with properties calculated at the GGA-PBE level.

a = 8.016 Å, b = 4.403 Å, c = 10.322 Å
α = 90.00°, β = 106.72°, γ = 90.00°
Space group P2_1/m (No. 11)
Symmetry-distinct sites (fractional):
Nd  0.044  0.250  0.365 x2
Nd  0.208  0.250  0.950 x2
Nd  0.432  0.750  0.634 x2
Bi  0.226  0.750  0.197 x2
Ir  0.204  0.250  0.643 x2
Cl  0.407  0.750  0.898 x2



(2)
Below is Bi3IrCl2O6 after structural relaxation, with properties calculated at the GGA-PBE level.

a = 11.979 Å, b = 6.498 Å, c = 5.625 Å
α = 90.00°, β = 98.61°, γ = 90.00°
Space group C2/m (No. 12)
Symmetry-distinct sites (fractional):
Bi  0.000  0.000  0.000 x2
Bi  0.250  0.250  0.500 x4
Ir  0.000  0.500  0.500 x2
Cl  0.211  0.000  0.881 x4
O  0.063  0.269  0.305 x8
O  0.153  0.500  0.682 x4



no.,raw formation energy (eV/atom),N(E_F) (states/eV/cell)
1,-0.933,6.6
2,-0.728,12.4